[1]
A plane-wave DFT calculation with PBE was carried out for TlPb4 after structural relaxation.

Output
The crystal system is trigonal. For the calculated density, the calculation gives 10.88 g/cm³. Its symmetry is No. 166. Its formation energy is 0.005 eV/atom. The value obtained for the polymorph energy (0 for the lowest one) is 0.005 eV per atom. The spin magnetization is 0.000 Bohr magnetons per cell.

Unit cell a=3.5252 b=3.5252 c=14.7986 alpha=83.16 beta=83.16 gamma=60.00
Last column: nearest neighbours and their distance in Å.
Fractional positions:
Pb (0.4006, 0.4006, 0.7983)  9 Pb 3.53-3.55, 3 Tl 3.59
Pb (0.7999, 0.7999, 0.6003)  12 Pb 3.53-3.58
Pb (0.2001, 0.2001, 0.3997)  12 Pb 3.53-3.58
Tl (0.0000, 0.0000, 0.0000)  6 Tl 3.53, 6 Pb 3.59
Pb (0.5994, 0.5994, 0.2017)  9 Pb 3.53-3.55, 3 Tl 3.59

***

[2]
A plane-wave DFT calculation with PBE was carried out for AcNdBi2 after structural relaxation.

Output
The crystal system is trigonal. For the calculated density, the calculation gives 8.05 g/cm³. Its symmetry is No. 166. Its formation energy is -0.188 eV/atom. The value obtained for the polymorph energy (0 for the lowest one) is 0.779 eV per atom. The spin magnetization is 0.000 Bohr magnetons per cell.

Unit cell a=4.0785 b=4.0785 c=11.5442 alpha=79.83 beta=79.83 gamma=60.00
Last column: nearest neighbours and their distance in Å.
Fractional positions:
Nd (0.5000, 0.5000, 0.5000)  6 Bi 3.30
Bi (0.0983, 0.0983, 0.7051)  3 Nd 3.30, 1 Ac 3.33
Bi (0.9017, 0.9017, 0.2949)  3 Nd 3.30, 1 Ac 3.33
Ac (0.0000, 0.0000, 0.0000)  2 Bi 3.33

***

[3]
A plane-wave DFT calculation with PBE was carried out for CaLa4Ag5 after structural relaxation.

Output
The crystal system is tetragonal. For the calculated density, the calculation gives 6.85 g/cm³. Its symmetry is No. 123. Its formation energy is -0.270 eV/atom. The spin magnetization is 0.000 Bohr magnetons per cell.

Unit cell a=3.7708 b=3.7708 c=19.3573 alpha=90.00 beta=90.00 gamma=90.00
Last column: nearest neighbours and their distance in Å.
Fractional positions:
Ca (0.0000, 0.0000, 0.0000)  8 Ag 3.26
Ag (0.5000, 0.5000, 0.7028)  8 La 3.31-3.32
La (0.0000, 0.0000, 0.3991)  8 Ag 3.31-3.32
Ag (0.5000, 0.5000, 0.5000)  8 La 3.31
Ag (0.5000, 0.5000, 0.2972)  8 La 3.31-3.32
La (0.0000, 0.0000, 0.6009)  8 Ag 3.31-3.32
Ag (0.5000, 0.5000, 0.0969)  4 Ca 3.26, 4 La 3.28
La (0.0000, 0.0000, 0.8040)  8 Ag 3.28-3.31
La (0.0000, 0.0000, 0.1960)  8 Ag 3.28-3.31
Ag (0.5000, 0.5000, 0.9031)  4 Ca 3.26, 4 La 3.28

***

[4]
A plane-wave DFT calculation with PBE was carried out for La5MgAg4 after structural relaxation.

Output
The crystal system is tetragonal. For the calculated density, the calculation gives 6.69 g/cm³. Its symmetry is No. 123. Its formation energy is -0.227 eV/atom. The spin magnetization is 0.001 Bohr magnetons per cell.

Unit cell a=3.8579 b=3.8579 c=19.1938 alpha=90.00 beta=90.00 gamma=90.00
Last column: nearest neighbours and their distance in Å.
Fractional positions:
La (0.5000, 0.5000, 0.5000)  8 Ag 3.32
Mg (0.0000, 0.0000, 0.0000)  8 La 3.41
Ag (0.0000, 0.0000, 0.5983)  8 La 3.32-3.33
Ag (0.0000, 0.0000, 0.4017)  8 La 3.32-3.33
Ag (0.0000, 0.0000, 0.2018)  8 La 3.29-3.34
La (0.5000, 0.5000, 0.8938)  4 Ag 3.29, 4 Mg 3.41
La (0.5000, 0.5000, 0.6975)  8 Ag 3.33-3.34
La (0.5000, 0.5000, 0.3025)  8 Ag 3.33-3.34
La (0.5000, 0.5000, 0.1062)  4 Ag 3.29, 4 Mg 3.41
Ag (0.0000, 0.0000, 0.7982)  8 La 3.29-3.34